1.
First-principles (PBE) data for BaCa2Cu after structural relaxation, as listed in Alexandria via LeMat-Bulk.

a = 7.623 Å, b = 7.623 Å, c = 7.623 Å
α = 101.26°, β = 101.26°, γ = 127.55°
Element x y z (fractional)
Ba  0.000  0.000  0.000
Ba  0.750  0.250  0.500
Ca  0.225  0.625  0.100
Ca  0.375  0.475  0.600
Ca  0.525  0.125  0.900
Ca  0.875  0.775  0.400
Cu  0.250  0.750  0.500
Cu  0.500  0.500  0.000

Calculated values
Total energy   -2.39 eV/atom
Crystal system   tetragonal
DOS(E_F)   8.55 states/eV per cell
Energy above the lowest structure with this stoichiometry   0.135 eV/atom
Energy of formation   11.1 kJ per mole of atoms
SG   I-42d, No. 122
Size of the total moment   0.00 μB/f.u.



2.
First-principles (PBE) data for Ba2CaCu after structural relaxation, as listed in Alexandria via LeMat-Bulk.

a = 4.027 Å, b = 4.027 Å, c = 10.211 Å
α = 90.00°, β = 90.00°, γ = 90.00°
Element x y z (fractional)
Ba  0.000  0.000  0.185
Ba  0.000  0.000  0.815
Ca  0.500  0.500  0.500
Cu  0.500  0.500  0.000

Calculated values
Total energy   -2.45 eV/atom
Crystal system   tetragonal
DOS(E_F)   5.16 states/eV per cell
Energy above the lowest structure with this stoichiometry   0.000 eV/atom
Energy of formation   3.8 kJ per mole of atoms
SG   P4/mmm, No. 123
Size of the total moment   0.00 μB/f.u.



3.
First-principles (PBE) data for BaCaCu after structural relaxation, as listed in Alexandria via LeMat-Bulk.

a = 7.828 Å, b = 7.828 Å, c = 7.577 Å
α = 114.19°, β = 114.19°, γ = 31.80°
Element x y z (fractional)
Ba  0.219  0.219  0.236
Ba  0.781  0.781  0.764
Ca  0.489  0.489  0.257
Ca  0.511  0.511  0.743
Cu  0.091  0.091  0.557
Cu  0.909  0.909  0.443

Calculated values
Total energy   -2.70 eV/atom
Crystal system   monoclinic
DOS(E_F)   4.88 states/eV per cell
Energy above the lowest structure with this stoichiometry   0.040 eV/atom
Energy of formation   -3.0 kJ per mole of atoms
SG   C2/m, No. 12
Size of the total moment   0.00 μB/f.u.



4.
First-principles (PBE) data for Ba2CaEu2Ti3Cu2O14 after structural relaxation, as listed in Alexandria via LeMat-Bulk.

a = 3.915 Å, b = 3.915 Å, c = 19.977 Å
α = 90.00°, β = 90.00°, γ = 90.00°
Element x y z (fractional)
Ba  0.000  0.000  0.000
Ba  0.000  0.000  0.381
Ca  0.000  0.000  0.799
Eu  0.000  0.000  0.190
Eu  0.000  0.000  0.592
Ti  0.500  0.500  0.491
Ti  0.500  0.500  0.692
Ti  0.500  0.500  0.890
Cu  0.500  0.500  0.103
Cu  0.500  0.500  0.278
O  0.000  0.500  0.114
O  0.000  0.500  0.266
O  0.000  0.500  0.499
O  0.000  0.500  0.684
O  0.000  0.500  0.881
O  0.500  0.000  0.114
O  0.500  0.000  0.266
O  0.500  0.000  0.499
O  0.500  0.000  0.684
O  0.500  0.000  0.881
O  0.500  0.500  0.396
O  0.500  0.500  0.592
O  0.500  0.500  0.785
O  0.500  0.500  0.983

Calculated values
Total energy   -7.90 eV/atom
Crystal system   tetragonal
DOS(E_F)   13.80 states/eV per cell
Formation energy without anion corrections   -61.928 eV per formula unit
SG   P4mm, No. 99
Size of the total moment   0.09 μB/f.u.



5.
First-principles (PBE) data for Ba2Ca2EuTi3Cu2O14 after structural relaxation, as listed in Alexandria via LeMat-Bulk.

a = 3.920 Å, b = 3.920 Å, c = 19.737 Å
α = 90.00°, β = 90.00°, γ = 90.00°
Element x y z (fractional)
Ba  0.000  0.000  0.195
Ba  0.000  0.000  0.805
Ca  0.000  0.000  0.400
Ca  0.000  0.000  0.600
Eu  0.000  0.000  0.000
Ti  0.500  0.500  0.302
Ti  0.500  0.500  0.500
Ti  0.500  0.500  0.698
Cu  0.500  0.500  0.092
Cu  0.500  0.500  0.908
O  0.000  0.500  0.076
O  0.000  0.500  0.307
O  0.000  0.500  0.500
O  0.000  0.500  0.693
O  0.000  0.500  0.924
O  0.500  0.000  0.076
O  0.500  0.000  0.307
O  0.500  0.000  0.500
O  0.500  0.000  0.693
O  0.500  0.000  0.924
O  0.500  0.500  0.204
O  0.500  0.500  0.403
O  0.500  0.500  0.597
O  0.500  0.500  0.796

Calculated values
Total energy   -7.51 eV/atom
Crystal system   tetragonal
DOS(E_F)   15.23 states/eV per cell
Formation energy without anion corrections   -60.712 eV per formula unit
SG   P4/mmm, No. 123
Size of the total moment   5.86 μB/f.u.



6.
First-principles (PBE) data for Ba2CaCu3F14 after structural relaxation, as listed in Alexandria via LeMat-Bulk.

a = 5.378 Å, b = 7.392 Å, c = 14.884 Å
α = 91.64°, β = 90.04°, γ = 111.31°
Element x y z (fractional)
Ba  0.000  0.000  0.000
Ba  0.094  0.999  0.500
Ba  0.390  0.781  0.739
Ba  0.485  0.781  0.239
Ca  0.668  0.390  0.869
Ca  0.817  0.390  0.369
Cu  0.112  0.156  0.743
Cu  0.139  0.157  0.243
Cu  0.347  0.625  0.996
Cu  0.372  0.623  0.496
Cu  0.742  0.389  0.619
Cu  0.743  0.391  0.119
F  0.050  0.894  0.202
F  0.073  0.625  0.573
F  0.073  0.646  0.916
F  0.122  0.555  0.103
F  0.165  0.364  0.460
F  0.191  0.416  0.279
F  0.198  0.711  0.398
F  0.288  0.070  0.841
F  0.295  0.365  0.960
F  0.320  0.416  0.779
F  0.364  0.227  0.136
F  0.411  0.154  0.666
F  0.413  0.134  0.323
F  0.436  0.887  0.037
F  0.527  0.553  0.603
F  0.545  0.886  0.537
F  0.608  0.711  0.898
F  0.627  0.273  0.504
F  0.648  0.627  0.073
F  0.668  0.646  0.416
F  0.743  0.275  0.004
F  0.743  0.507  0.235
F  0.817  0.134  0.823
F  0.838  0.155  0.166
F  0.858  0.505  0.735
F  0.878  0.070  0.341
F  0.939  0.893  0.703
F  0.957  0.225  0.636

Calculated values
Total energy   -4.80 eV/atom
Crystal system   triclinic
DOS(E_F)   8.06 states/eV per cell
Formation energy without anion corrections   -51.695 eV per formula unit
SG   P1, No. 1
Size of the total moment   5.01 μB/f.u.



7.
First-principles (PBE) data for Ba2CaCu3F12 after structural relaxation, as listed in Alexandria via LeMat-Bulk.

a = 7.105 Å, b = 7.105 Å, c = 7.105 Å
α = 62.11°, β = 62.11°, γ = 62.11°
Element x y z (fractional)
Ba  0.114  0.114  0.114
Ba  0.886  0.886  0.886
Ca  0.500  0.500  0.500
Cu  0.000  0.500  0.500
Cu  0.500  0.000  0.500
Cu  0.500  0.500  0.000
F  0.089  0.636  0.636
F  0.219  0.219  0.631
F  0.219  0.631  0.219
F  0.364  0.364  0.911
F  0.364  0.911  0.364
F  0.369  0.781  0.781
F  0.631  0.219  0.219
F  0.636  0.089  0.636
F  0.636  0.636  0.089
F  0.781  0.369  0.781
F  0.781  0.781  0.369
F  0.911  0.364  0.364

Calculated values
Total energy   -4.88 eV/atom
Crystal system   trigonal
DOS(E_F)   7.12 states/eV per cell
Formation energy without anion corrections   -47.184 eV per formula unit
SG   R-3m, No. 166
Size of the total moment   3.01 μB/f.u.



8.
First-principles (PBE) data for BaCaCuF7 after structural relaxation, as listed in Alexandria via LeMat-Bulk.

a = 5.622 Å, b = 10.976 Å, c = 9.529 Å
α = 90.00°, β = 92.41°, γ = 90.00°
Element x y z (fractional)
Ba  0.229  0.151  0.480
Ba  0.229  0.349  0.980
Ba  0.771  0.651  0.020
Ba  0.771  0.849  0.520
Ca  0.223  0.574  0.359
Ca  0.223  0.926  0.859
Ca  0.777  0.074  0.141
Ca  0.777  0.426  0.641
Cu  0.306  0.654  0.697
Cu  0.306  0.846  0.197
Cu  0.694  0.154  0.803
Cu  0.694  0.346  0.303
F  0.030  0.732  0.773
F  0.030  0.768  0.273
F  0.110  0.526  0.143
F  0.110  0.974  0.643
F  0.147  0.516  0.609
F  0.147  0.984  0.109
F  0.218  0.736  0.525
F  0.218  0.764  0.025
F  0.404  0.558  0.855
F  0.404  0.942  0.355
F  0.414  0.106  0.906
F  0.414  0.394  0.406
F  0.498  0.710  0.269
F  0.498  0.790  0.769
F  0.502  0.210  0.231
F  0.502  0.290  0.731
F  0.586  0.606  0.594
F  0.586  0.894  0.094
F  0.596  0.058  0.645
F  0.596  0.442  0.145
F  0.782  0.236  0.975
F  0.782  0.264  0.475
F  0.853  0.016  0.891
F  0.853  0.484  0.391
F  0.890  0.026  0.357
F  0.890  0.474  0.857
F  0.970  0.232  0.727
F  0.970  0.268  0.227

Calculated values
Total energy   -5.02 eV/atom
Crystal system   monoclinic
Formation energy without anion corrections   -29.068 eV per formula unit
SG   P2_1/c, No. 14
Size of the total moment   1.94 μB/f.u.



9.
First-principles (PBE) data for BaCaCu2F8 after structural relaxation, as listed in Alexandria via LeMat-Bulk.

a = 5.628 Å, b = 5.628 Å, c = 7.733 Å
α = 90.00°, β = 90.00°, γ = 120.00°
Element x y z (fractional)
Ba  0.000  0.000  0.000
Ca  0.000  0.000  0.500
Cu  0.333  0.667  0.751
Cu  0.667  0.333  0.249
F  0.031  0.303  0.701
F  0.272  0.969  0.701
F  0.303  0.272  0.299
F  0.333  0.667  0.993
F  0.667  0.333  0.007
F  0.697  0.728  0.701
F  0.728  0.031  0.299
F  0.969  0.697  0.299

Calculated values
Total energy   -4.79 eV/atom
Crystal system   trigonal
DOS(E_F)   17.50 states/eV per cell
Formation energy without anion corrections   -30.349 eV per formula unit
SG   P-3, No. 147
Size of the total moment   2.00 μB/f.u.